No. 1
An optimized crystal structure of Mg2SiPd. Source: OQMD via LeMat-Bulk, functional PBE-GGA.

Cell and atoms, written as POSCAR:
```
Mg2SiPd
1.0
-3.3603 -1.3787 -2.6588
-4.2489 1.1170 0.9804
-2.1974 2.9690 -2.5726
Mg Pd Si
2 1 1
Cartesian
0.0000 0.0000 0.0000
-7.3550 2.0305 -3.1883
-2.4517 0.6768 -1.0628
-4.9034 1.3537 -2.1256
```

Space group: F-43m
VASP energy, eV per atom: -3.69

=====

No. 2
An optimized crystal structure of KIr3Pb5. Source: OQMD via LeMat-Bulk, functional PBE-GGA.

Cell and atoms, written as POSCAR:
```
KIr3Pb5
1.0
5.7743 0.0000 0.0000
-2.8871 5.0007 0.0000
0.0000 0.0000 8.7222
Ir Pb K
3 5 1
Cartesian
1.4436 2.5003 4.3611
-1.4436 2.5003 4.3611
2.8871 0.0000 4.3611
0.0000 3.3338 2.0392
2.8871 1.6669 6.6829
2.8871 1.6669 2.0392
0.0000 0.0000 4.3611
0.0000 3.3338 6.6829
0.0000 0.0000 0.0000
```

Space group: P6/mmm
VASP energy, eV per atom: -5.05

=====

No. 3
An optimized crystal structure of TaBeB. Source: OQMD via LeMat-Bulk, functional PBE-GGA.

Cell and atoms, written as POSCAR:
```
TaBeB
1.0
3.2554 0.0000 0.0000
-1.6277 2.8193 0.0000
0.0000 0.0000 3.2614
Be Ta B
1 1 1
Cartesian
0.0000 0.0000 0.0000
0.0000 1.8795 1.6307
1.6277 0.9398 0.0000
```

Offset from the most stable computed form, meV/atom: 0
Space group: P-6m2

=====

No. 4
An optimized crystal structure of CdMoW2. Source: OQMD via LeMat-Bulk, functional PBE-GGA.

Cell and atoms, written as POSCAR:
```
CdMoW2
1.0
-1.1903 2.3549 3.7252
-2.6617 3.6887 -0.3852
-4.3093 -0.1279 1.5010
Mo W Cd
1 2 1
Cartesian
0.0000 0.0000 0.0000
-4.0806 2.9578 2.4205
-2.0403 1.4789 1.2102
-6.1209 4.4368 3.6307
```

ΔH_f (0 K), eV/atom: 0.62
Space group: F-43m

=====

No. 5
An optimized crystal structure of CsK3Ag2Sb2. Source: OQMD via LeMat-Bulk, functional PBE-GGA.

Cell and atoms, written as POSCAR:
```
CsK3Ag2Sb2
1.0
-4.6776 2.9805 3.7266
-3.0271 -5.6787 0.7422
4.9732 -2.0460 4.6292
Ag Sb K Cs
2 2 3 1
Cartesian
-5.4106 1.5257 3.8889
-6.9082 -1.2838 4.2561
0.0849 0.7617 6.1742
-1.3262 -2.6564 2.5348
1.6755 -0.4929 3.0627
-2.8928 -1.4066 5.7078
0.3728 -3.1158 5.9496
-1.6319 1.2361 2.8019
```

Space group: Pm
VASP energy, eV per atom: -2.66

=====

No. 6
An optimized crystal structure of NdUCl6. Source: OQMD via LeMat-Bulk, functional PBE-GGA.

Cell and atoms, written as POSCAR:
```
NdUCl6
1.0
-5.8291 -2.9912 -3.6079
4.5718 -4.3719 3.9910
-2.4414 0.5964 3.4499
U Nd Cl
1 1 6
Cartesian
-0.1159 -3.6135 3.1830
0.0000 0.0000 0.0000
-2.6970 -0.6579 0.8455
-5.7488 -3.6840 -0.7910
2.5859 -2.9538 2.3405
-0.1994 -2.9167 0.3631
0.9280 -5.8644 1.6705
-2.3027 -5.1178 1.8955
```

Space group: P-6
VASP energy, eV per atom: -5.36

=====

No. 7
An optimized crystal structure of KUSi. Source: OQMD via LeMat-Bulk, functional PBE-GGA.

Cell and atoms, written as POSCAR:
```
KUSi
1.0
0.0000 3.6102 3.6102
3.6102 0.0000 3.6102
3.6102 3.6102 0.0000
Si K U
1 1 1
Cartesian
0.0000 0.0000 0.0000
1.8051 1.8051 1.8051
5.4153 5.4153 5.4153
```

Offset from the most stable computed form, meV/atom: 0
Space group: F-43m

=====

No. 8
An optimized crystal structure of RbAgTe3Os. Source: OQMD via LeMat-Bulk, functional PBE-GGA.

Cell and atoms, written as POSCAR:
```
RbAgTe3Os
1.0
4.0804 0.0000 0.0000
2.0402 8.2779 0.0000
0.0000 0.0000 10.6245
Te Ag Rb Os
6 2 2 2
Cartesian
4.0804 6.4853 0.1661
4.0804 6.4853 5.1461
2.0402 1.7927 5.4784
4.0804 1.1088 2.6561
2.0402 1.7927 10.4583
2.0402 7.1692 7.9683
4.0804 7.4620 2.6561
2.0402 0.8159 7.9683
4.0804 3.8843 7.9683
2.0402 4.3937 2.6561
0.0000 0.0000 0.0000
0.0000 0.0000 5.3122
```

Space group: Cmcm
VASP energy, eV per atom: -4.14